The following is a DFT calculation (PBE-GGA) of crystalline CdBr at its relaxed geometry.

Its formation energy without anion corrections is -278 meV/atom. Its raw total energy is -1.5718 eV/atom.

Cell: 7.2905 4.1795 4.2077 Å, 90.00 90.00 90.00°
Sites, in units of the cell vectors:
Cd1 0.2500 0.0000 0.1055
Cd2 0.7500 0.0000 0.8945
Br1 0.2500 0.5000 0.6047
Br2 0.7500 0.5000 0.3953